1.
La2BeI, single point on PBEsol structure, DFT SCAN; size of the total moment = 0.00 Bohr magnetons per cell; formation energy (no corrections) = -0.137 eV per atom; SG = I-42d
1.0
-2.8535 -3.0993 5.2155
6.1849 -2.0314 -1.6030
0.5249 6.4619 1.7079
La I Be
4 2 2
Direct
0.8412 0.3750 0.9662
0.4088 0.8750 0.0338
0.6250 0.5912 0.4662
0.1250 0.1588 0.5338
0.0000 0.0000 0.0000
0.2500 0.7500 0.5000
0.7500 0.2500 0.5000
0.5000 0.5000 0.0000

---

2.
Ta3BiSe, single point on PBEsol structure, DFT SCAN; size of the total moment = 0.98 Bohr magnetons per cell; formation energy (no corrections) = 2.581 eV per atom; SG = Pm-3m
1.0
-4.8029 -0.0379 1.7394
0.4894 -4.9303 1.2438
1.6695 1.3361 4.6392
Ta Se Bi
3 1 1
Direct
0.0000 0.5000 0.0000
0.0000 0.0000 0.5000
0.5000 0.0000 0.0000
0.5000 0.5000 0.5000
0.0000 0.0000 0.0000

---

3.
HfAsPt3, single point on PBEsol structure, DFT SCAN; energy of formation from the pure elements = 48 kJ/mol of formula units; size of the total moment = 0.00 Bohr magnetons per cell; SG = Pm-3m
1.0
-4.4003 1.2945 -0.1630
-0.3195 -0.5130 4.5497
1.2650 4.3733 0.5820
Pt Hf As
3 1 1
Direct
0.0000 0.0000 0.5000
0.0000 0.5000 0.0000
0.5000 0.0000 0.0000
0.5000 0.5000 0.5000
0.0000 0.0000 0.0000

---

4.
Tc3PdC, single point on PBEsol structure, DFT SCAN; energy of formation from the pure elements = 1659 kJ/mol of formula units; size of the total moment = 7.28 Bohr magnetons per cell; SG = Pm-3m
1.0
-4.1122 -1.9836 0.5062
1.6698 -2.5930 3.4043
-1.1843 3.2315 3.0423
C Tc Pd
1 3 1
Direct
0.5000 0.5000 0.5000
0.0000 0.5000 0.0000
0.0000 0.0000 0.5000
0.5000 0.0000 0.0000
0.0000 0.0000 0.0000

---

5.
CrInCl2, single point on PBEsol structure, DFT SCAN; size of the total moment = 1.59 Bohr magnetons per cell; formation energy (no corrections) = -0.533 eV per atom; SG = R3m
1.0
-1.2804 -0.9234 -2.8368
-3.0569 -1.0861 -0.1244
-4.1589 7.1169 -2.2970
Cl Cr In
2 1 1
Direct
0.7765 0.7765 0.6706
0.9858 0.9858 0.0426
0.4949 0.4949 0.5154
0.2429 0.2429 0.2714

---

6.
RbAlSnOs2, single point on PBEsol structure, DFT SCAN; energy of formation from the pure elements = 1693 kJ/mol of formula units; size of the total moment = 2.09 Bohr magnetons per cell; SG = P4/mmm
1.0
-0.9727 2.7802 -3.7661
-4.6324 -1.1254 0.3657
-0.7574 4.1849 3.2850
Rb Os Sn Al
1 2 1 1
Direct
0.0000 0.0000 0.0000
0.5000 0.0000 0.0000
0.0000 0.5000 0.0000
0.0000 0.0000 0.5000
0.5000 0.5000 0.5000

---

Which formula does entry 1 have? La2BeI

---

What is the formula in the third record? HfAsPt3